# Nd6Er2Tm3Tl | Alexandria via LeMat-Bulk | GGA-PBE | relaxed
data_Nd6Er2Tm3Tl
_chemical_formula_sum 'Nd12 Er4 Tm6 Tl2'
_cell_length_a 6.184
_cell_length_b 10.734
_cell_length_c 11.758
_cell_angle_alpha 90.00
_cell_angle_beta 100.21
_cell_angle_gamma 90.00
_space_group_name_H-M_alt 'C 1 2/m 1'
_space_group_IT_number 12
loop_
_space_group_symop_operation_xyz
'x,y,z'
'-x,-y,-z'
'-x,y,-z'
'x,-y,z'
'x+1/2,y+1/2,z'
'-x+1/2,-y+1/2,-z'
'-x+1/2,y+1/2,-z'
'x+1/2,-y+1/2,z'
loop_
_atom_site_label
_atom_site_type_symbol
_atom_site_fract_x
_atom_site_fract_y
_atom_site_fract_z
Nd1 Nd 0.245 0.000 0.249
Nd2 Nd 0.248 0.164 0.749
Er1 Er 0.000 0.334 0.500
Tm1 Tm 0.000 0.168 0.000
Tm2 Tm 0.000 0.500 0.000
Tl1 Tl 0.000 0.000 0.500
# Volume in Å³/cell: 768.10
# Crystal system: monoclinic
# Fermi-level density of states in states/eV/atom: 1.109
# VASP energy in eV/atom: -4.464
# Formation energy from the elements in eV per atom: 0.00